No. 1
Below is Tl12SnHg3 after structural relaxation, with properties calculated at the PBE level.

CIF file:
```
data_Tl12SnHg3
_cell_length_a 5.5828
_cell_length_b 5.5828
_cell_length_c 15.4635
_cell_angle_alpha 90.00
_cell_angle_beta 90.00
_cell_angle_gamma 90.00
_symmetry_space_group_name_H-M 'P 4/m m m'
_symmetry_Int_Tables_number 123
_symmetry_space_group_name_Hall '-P 4 2'
loop_
_atom_site_label
_atom_site_type_symbol
_atom_site_fract_x
_atom_site_fract_y
_atom_site_fract_z
Tl1 Tl 0.0000 0.0000 0.0000
Tl2 Tl 0.0000 0.0000 0.2452
Tl3 Tl 0.0000 0.0000 0.5000
Tl4 Tl 0.0000 0.5000 0.1252
Tl5 Tl 0.0000 0.5000 0.3733
Sn1 Sn 0.5000 0.5000 0.5000
Hg1 Hg 0.5000 0.5000 0.0000
Hg2 Hg 0.5000 0.5000 0.2519
```

Results
Total DFT energy (no corrections)   -2.07 eV per atom
V   482 Å³ per cell
Formation enthalpy at 0 K   0.17 eV/f.u.


No. 2
Below is Tl8Sn2Hg after structural relaxation, with properties calculated at the PBE level.

CIF file:
```
data_Tl8Sn2Hg
_cell_length_a 17.5248
_cell_length_b 5.2500
_cell_length_c 7.3690
_cell_angle_alpha 90.00
_cell_angle_beta 104.07
_cell_angle_gamma 90.00
_symmetry_space_group_name_H-M 'C 1 2/m 1'
_symmetry_Int_Tables_number 12
loop_
_symmetry_equiv_pos_as_xyz
'x,y,z'
'-x,-y,-z'
'-x,y,-z'
'x,-y,z'
'x+1/2,y+1/2,z'
'-x+1/2,-y+1/2,-z'
'-x+1/2,y+1/2,-z'
'x+1/2,-y+1/2,z'
loop_
_atom_site_label
_atom_site_type_symbol
_atom_site_fract_x
_atom_site_fract_y
_atom_site_fract_z
Tl1 Tl 0.0539 0.0000 0.2245
Tl2 Tl 0.0909 0.5000 0.9476
Tl3 Tl 0.1318 0.0000 0.6848
Tl4 Tl 0.1837 0.5000 0.4173
Sn1 Sn 0.2310 0.0000 0.1222
Hg1 Hg 0.0000 0.5000 0.5000
```

Results
Total DFT energy (no corrections)   -2.46 eV per atom
Excess energy over the best structure of this formula in the dataset   0 meV per atom
V   658 Å³ per cell
Formation enthalpy at 0 K   0.23 eV/f.u.


No. 3
Below is Tl2Sn2Hg after structural relaxation, with properties calculated at the PBE level.

CIF file:
```
data_Tl2Sn2Hg
_cell_length_a 3.4891
_cell_length_b 3.4891
_cell_length_c 23.8934
_cell_angle_alpha 90.00
_cell_angle_beta 90.00
_cell_angle_gamma 90.00
_symmetry_space_group_name_H-M 'I 4/m m m'
_symmetry_Int_Tables_number 139
_symmetry_space_group_name_Hall '-I 4 2'
loop_
_atom_site_label
_atom_site_type_symbol
_atom_site_fract_x
_atom_site_fract_y
_atom_site_fract_z
Tl1 Tl 0.0000 0.0000 0.1000
Sn1 Sn 0.0000 0.0000 0.2952
Hg1 Hg 0.0000 0.0000 0.5000
```

Results
Total DFT energy (no corrections)   -2.60 eV per atom
Excess energy over the best structure of this formula in the dataset   0 meV per atom
V   291 Å³ per cell
Formation enthalpy at 0 K   0.02 eV/f.u.


No. 4
Below is TlSnHg5 after structural relaxation, with properties calculated at the PBE level.

CIF file:
```
data_TlSnHg5
_cell_length_a 4.5458
_cell_length_b 4.5458
_cell_length_c 9.7369
_cell_angle_alpha 90.00
_cell_angle_beta 90.00
_cell_angle_gamma 90.00
_symmetry_space_group_name_H-M 'P 4/m m m'
_symmetry_Int_Tables_number 123
_symmetry_space_group_name_Hall '-P 4 2'
loop_
_atom_site_label
_atom_site_type_symbol
_atom_site_fract_x
_atom_site_fract_y
_atom_site_fract_z
Tl1 Tl 0.0000 0.0000 0.0000
Sn1 Sn 0.5000 0.5000 0.5000
Hg1 Hg 0.0000 0.0000 0.5000
Hg2 Hg 0.0000 0.5000 0.2427
```

Results
Total DFT energy (no corrections)   -1.07 eV per atom
Excess energy over the best structure of this formula in the dataset   21 meV per atom
V   201 Å³ per cell
Formation enthalpy at 0 K   0.39 eV/f.u.


No. 5
Below is Tl6SnHg5 after structural relaxation, with properties calculated at the PBE level.

CIF file:
```
data_Tl6SnHg5
_cell_length_a 5.4236
_cell_length_b 7.7227
_cell_length_c 9.3990
_cell_angle_alpha 68.38
_cell_angle_beta 74.26
_cell_angle_gamma 89.44
_symmetry_space_group_name_H-M 'P -1'
_symmetry_Int_Tables_number 2
loop_
_symmetry_equiv_pos_as_xyz
'x,y,z'
'-x,-y,-z'
loop_
_atom_site_label
_atom_site_type_symbol
_atom_site_fract_x
_atom_site_fract_y
_atom_site_fract_z
Tl1 Tl 0.0018 0.2562 0.4954
Tl2 Tl 0.3444 0.5859 0.8289
Tl3 Tl 0.3471 0.0908 0.8224
Sn1 Sn 0.5000 0.5000 0.5000
Hg1 Hg 0.1612 0.6766 0.1629
Hg2 Hg 0.1618 0.1735 0.1572
Hg3 Hg 0.5000 0.0000 0.5000
```

Results
Total DFT energy (no corrections)   -1.64 eV per atom
V   350 Å³ per cell
Formation enthalpy at 0 K   0.08 eV/f.u.


No. 6
Below is Tl5Sn2Hg5 after structural relaxation, with properties calculated at the PBE level.

CIF file:
```
data_Tl5Sn2Hg5
_cell_length_a 8.9020
_cell_length_b 5.5119
_cell_length_c 14.5977
_cell_angle_alpha 90.00
_cell_angle_beta 100.76
_cell_angle_gamma 90.00
_symmetry_space_group_name_H-M 'C 1 2/m 1'
_symmetry_Int_Tables_number 12
loop_
_symmetry_equiv_pos_as_xyz
'x,y,z'
'-x,-y,-z'
'-x,y,-z'
'x,-y,z'
'x+1/2,y+1/2,z'
'-x+1/2,-y+1/2,-z'
'-x+1/2,y+1/2,-z'
'x+1/2,-y+1/2,z'
loop_
_atom_site_label
_atom_site_type_symbol
_atom_site_fract_x
_atom_site_fract_y
_atom_site_fract_z
Tl1 Tl 0.0000 0.0000 0.0000
Tl2 Tl 0.1838 0.0000 0.5795
Tl3 Tl 0.2348 0.5000 0.1676
Sn1 Sn 0.0613 0.5000 0.7088
Hg1 Hg 0.0000 0.5000 0.5000
Hg2 Hg 0.0993 0.0000 0.2936
Hg3 Hg 0.1372 0.5000 0.9276
```

Results
Total DFT energy (no corrections)   -1.77 eV per atom
V   704 Å³ per cell
Formation enthalpy at 0 K   0.13 eV/f.u.


No. 7
Below is TlSnHg2 after structural relaxation, with properties calculated at the PBE level.

CIF file:
```
data_TlSnHg2
_cell_length_a 4.5730
_cell_length_b 4.5730
_cell_length_c 22.2424
_cell_angle_alpha 90.00
_cell_angle_beta 90.00
_cell_angle_gamma 90.00
_symmetry_space_group_name_H-M 'I -4 2 d'
_symmetry_Int_Tables_number 122
_symmetry_space_group_name_Hall 'I -4 2bw'
loop_
_atom_site_label
_atom_site_type_symbol
_atom_site_fract_x
_atom_site_fract_y
_atom_site_fract_z
Tl1 Tl 0.0000 0.0000 0.0000
Sn1 Sn 0.0000 0.0000 0.5000
Hg1 Hg 0.2413 0.2500 0.6250
```

Results
Total DFT energy (no corrections)   -1.67 eV per atom
V   465 Å³ per cell
Formation enthalpy at 0 K   0.31 eV/f.u.


No. 8
Below is Tl5Sn5Hg2 after structural relaxation, with properties calculated at the PBE level.

CIF file:
```
data_Tl5Sn5Hg2
_cell_length_a 5.4281
_cell_length_b 8.5639
_cell_length_c 8.8002
_cell_angle_alpha 103.31
_cell_angle_beta 107.80
_cell_angle_gamma 108.29
_symmetry_space_group_name_H-M 'P -1'
_symmetry_Int_Tables_number 2
loop_
_symmetry_equiv_pos_as_xyz
'x,y,z'
'-x,-y,-z'
loop_
_atom_site_label
_atom_site_type_symbol
_atom_site_fract_x
_atom_site_fract_y
_atom_site_fract_z
Tl1 Tl 0.0000 0.0000 0.0000
Tl2 Tl 0.3102 0.4935 0.1324
Tl3 Tl 0.3354 0.2440 0.4234
Sn1 Sn 0.0000 0.5000 0.5000
Sn2 Sn 0.0333 0.7693 0.3016
Sn3 Sn 0.3207 0.7524 0.8854
Hg1 Hg 0.3663 0.0299 0.6995
```

Results
Total DFT energy (no corrections)   -2.66 eV per atom
V   345 Å³ per cell
Formation enthalpy at 0 K   0.59 eV/f.u.


No. 9
Below is Tl15SnHg4 after structural relaxation, with properties calculated at the PBE level.

CIF file:
```
data_Tl15SnHg4
_cell_length_a 4.9106
_cell_length_b 4.9106
_cell_length_c 24.5238
_cell_angle_alpha 90.00
_cell_angle_beta 90.00
_cell_angle_gamma 90.00
_symmetry_space_group_name_H-M 'P 4/m m m'
_symmetry_Int_Tables_number 123
_symmetry_space_group_name_Hall '-P 4 2'
loop_
_atom_site_label
_atom_site_type_symbol
_atom_site_fract_x
_atom_site_fract_y
_atom_site_fract_z
Tl1 Tl 0.0000 0.0000 0.0000
Tl2 Tl 0.0000 0.0000 0.2002
Tl3 Tl 0.0000 0.0000 0.3997
Tl4 Tl 0.0000 0.5000 0.0989
Tl5 Tl 0.0000 0.5000 0.3002
Tl6 Tl 0.0000 0.5000 0.5000
Sn1 Sn 0.5000 0.5000 0.0000
Hg1 Hg 0.5000 0.5000 0.2017
Hg2 Hg 0.5000 0.5000 0.3987
```

Results
Total DFT energy (no corrections)   -2.01 eV per atom
V   591 Å³ per cell
Formation enthalpy at 0 K   0.46 eV/f.u.


No. 10
Below is Tl3SnHg3 after structural relaxation, with properties calculated at the PBE level.

CIF file:
```
data_Tl3SnHg3
_cell_length_a 8.2774
_cell_length_b 10.7071
_cell_length_c 9.5955
_cell_angle_alpha 90.00
_cell_angle_beta 90.63
_cell_angle_gamma 90.00
_symmetry_space_group_name_H-M 'C 1 2/m 1'
_symmetry_Int_Tables_number 12
loop_
_symmetry_equiv_pos_as_xyz
'x,y,z'
'-x,-y,-z'
'-x,y,-z'
'x,-y,z'
'x+1/2,y+1/2,z'
'-x+1/2,-y+1/2,-z'
'-x+1/2,y+1/2,-z'
'x+1/2,-y+1/2,z'
loop_
_atom_site_label
_atom_site_type_symbol
_atom_site_fract_x
_atom_site_fract_y
_atom_site_fract_z
Tl1 Tl 0.0000 0.1483 0.0000
Tl2 Tl 0.0000 0.3100 0.5000
Tl3 Tl 0.0214 0.5000 0.8374
Sn1 Sn 0.1928 0.0000 0.6523
Hg1 Hg 0.1627 0.0000 0.3462
Hg2 Hg 0.2484 0.2499 0.2198
```

Results
Total DFT energy (no corrections)   -1.68 eV per atom
Excess energy over the best structure of this formula in the dataset   0 meV per atom
V   850 Å³ per cell
Formation enthalpy at 0 K   0.23 eV/f.u.


> Which of these has the highest V?

Tl3SnHg3